No. 1
DFT (GGA-PBE) results for an optimized crystal structure of CeAlOs2.

Cell lengths 4.3976, 4.3976, 3.5529 Å; angles 90.00, 90.00, 90.00 degrees
Fractional coordinates of all 4 atoms:
Ce1 0.0000 0.0000 0.0000
Al1 0.5000 0.5000 0.0000
Os1 0.0000 0.5000 0.5000
Os2 0.5000 0.0000 0.5000

For the magnetization, the calculation gives 0.000 μB/atom. Its space group is P4/mmm, No. 123. The calculation puts the electronic total energy at -8.173 eV/atom. As for the energy above the lowest structure with this stoichiometry: 39 meV/atom.


No. 2
DFT (GGA-PBE) results for an optimized crystal structure of KNdSn2Br8.

Cell lengths 6.9100, 9.1575, 7.2655 Å; angles 90.00, 91.07, 90.00 degrees
Fractional coordinates of all 12 atoms:
K1 0.0000 0.0000 0.0000
Nd1 0.0000 0.5000 0.0000
Sn1 0.5000 0.2456 0.5000
Sn2 0.5000 0.7544 0.5000
Br1 0.2452 0.2732 0.1601
Br2 0.2455 0.5000 0.6741
Br3 0.2452 0.7268 0.1601
Br4 0.2756 0.0000 0.6354
Br5 0.7244 0.0000 0.3646
Br6 0.7548 0.2732 0.8398
Br7 0.7545 0.5000 0.3259
Br8 0.7548 0.7268 0.8398

For the magnetization, the calculation gives 0.000 μB/atom. Its space group is P2/m, No. 10. As for the uncorrected formation energy: -1.28 eV per atom. The calculation puts the electronic total energy at -3.553 eV/atom.


No. 3
DFT (GGA-PBE) results for an optimized crystal structure of Sr6Ge2H.

Cell lengths 7.2014, 8.3297, 12.6606 Å; angles 90.00, 124.62, 90.00 degrees
Fractional coordinates of all 18 atoms:
Sr1 0.1156 0.1750 0.4375
Sr2 0.1156 0.3250 0.9375
Sr3 0.2629 0.6769 0.4371
Sr4 0.2629 0.8231 0.9371
Sr5 0.3751 0.0350 0.2510
Sr6 0.3751 0.4650 0.7510
Sr7 0.6249 0.5350 0.2490
Sr8 0.6249 0.9650 0.7490
Sr9 0.7371 0.1769 0.0629
Sr10 0.7371 0.3231 0.5629
Sr11 0.8844 0.6750 0.0625
Sr12 0.8844 0.8250 0.5625
Ge1 0.2091 0.1088 0.7489
Ge2 0.2091 0.3912 0.2489
Ge3 0.7909 0.6088 0.7511
Ge4 0.7909 0.8912 0.2511
H1 0.5000 0.0000 0.5000
H2 0.5000 0.5000 0.0000

For the magnetization, the calculation gives 0.000 μB/atom. Its space group is P2_1/c, No. 14. The calculation puts the electronic total energy at -2.908 eV/atom.


No. 4
DFT (GGA-PBE) results for an optimized crystal structure of AcSn4Rh2.

Cell lengths 18.9516, 4.6410, 7.2945 Å; angles 90.00, 90.00, 90.00 degrees
Fractional coordinates of all 28 atoms:
Ac1 0.1410 0.2500 0.0010
Ac2 0.3590 0.7500 0.5010
Ac3 0.6410 0.2500 0.4990
Ac4 0.8590 0.7500 0.9990
Sn1 0.0299 0.7500 0.8581
Sn2 0.0680 0.2500 0.4828
Sn3 0.1817 0.7500 0.3096
Sn4 0.1959 0.7500 0.7183
Sn5 0.3041 0.2500 0.2183
Sn6 0.3183 0.2500 0.8096
Sn7 0.4320 0.7500 0.9828
Sn8 0.4701 0.2500 0.3581
Sn9 0.5299 0.7500 0.6419
Sn10 0.5680 0.2500 0.0172
Sn11 0.6817 0.7500 0.1904
Sn12 0.6959 0.7500 0.7817
Sn13 0.8041 0.2500 0.2817
Sn14 0.8183 0.2500 0.6904
Sn15 0.9320 0.7500 0.5172
Sn16 0.9701 0.2500 0.1419
Rh1 0.0342 0.7500 0.2518
Rh2 0.2125 0.2500 0.5181
Rh3 0.2875 0.7500 0.0181
Rh4 0.4658 0.2500 0.7518
Rh5 0.5342 0.7500 0.2482
Rh6 0.7125 0.2500 0.9819
Rh7 0.7875 0.7500 0.4819
Rh8 0.9658 0.2500 0.7482

For the magnetization, the calculation gives 0.000 μB/atom. Its space group is Pnma, No. 62. The calculation puts the electronic total energy at -5.584 eV/atom. As for the energy above the lowest structure with this stoichiometry: 0 meV/atom.


No. 5
DFT (GGA-PBE) results for an optimized crystal structure of In2OsCl.

Cell lengths 3.2101, 3.2101, 10.2865 Å; angles 90.00, 90.00, 124.04 degrees
Fractional coordinates of all 4 atoms:
In1 0.0000 0.0000 0.0000
In2 0.5000 0.5000 0.2778
Os1 0.0000 0.0000 0.5046
Cl1 0.5000 0.5000 0.6820

For the magnetization, the calculation gives 0.000 μB/atom. Its space group is Cmm2, No. 35. As for the uncorrected formation energy: 0.48 eV per atom. The calculation puts the electronic total energy at -4.157 eV/atom. As for the energy above the lowest structure with this stoichiometry: 457 meV/atom.


No. 6
DFT (GGA-PBE) results for an optimized crystal structure of PmNd2In9.

Cell lengths 4.7105, 4.7105, 14.1334 Å; angles 90.00, 90.00, 90.00 degrees
Fractional coordinates of all 12 atoms:
Pm1 0.0000 0.0000 0.0000
Nd1 0.0000 0.0000 0.3329
Nd2 0.0000 0.0000 0.6671
In1 0.0000 0.5000 0.1658
In2 0.0000 0.5000 0.5000
In3 0.0000 0.5000 0.8342
In4 0.5000 0.0000 0.1658
In5 0.5000 0.0000 0.5000
In6 0.5000 0.0000 0.8342
In7 0.5000 0.5000 0.0000
In8 0.5000 0.5000 0.3333
In9 0.5000 0.5000 0.6667

For the magnetization, the calculation gives 0.000 μB/atom. Its space group is P4/mmm, No. 123. The calculation puts the electronic total energy at -3.715 eV/atom.